1.
DFT (PBE) results for an optimized crystal structure of Mg2AlSb.

Calculated values
distance to the lowest polymorph of the same formula = 0.029 eV/atom
energy = -2.805 eV per atom
energy relative to the elements, uncorrected = -0.17 eV per formula unit
SG = No. 12

abc: 5.001 5.001 5.990
angles: 79.84 79.84 37.73
Element x y z (fractional)
1 Mg 0.994 0.994 0.027
2 Mg 0.506 0.506 0.473
3 Al 0.250 0.250 0.250
4 Sb 0.750 0.750 0.750

2.
DFT (PBE) results for an optimized crystal structure of ZnAg2Rh.

Calculated values
energy = -3.541 eV per atom
SG = No. 139
ΔE_f = 0.16 eV per formula unit

abc: 4.993 4.993 4.993
angles: 133.75 133.75 67.48
Element x y z (fractional)
1 Ag 0.500 0.500 0.000
2 Ag 0.000 0.000 0.000
3 Rh 0.250 0.750 0.500
4 Zn 0.750 0.250 0.500

3.
DFT (PBE) results for an optimized crystal structure of AcTbSm5Dy2.

Calculated values
energy = -4.339 eV per atom
SG = No. 140
ΔE_f = 2.49 eV per formula unit

abc: 9.180 9.180 9.938
angles: 117.51 117.51 90.00
Element x y z (fractional)
1 Dy 0.612 0.112 0.000
2 Tb 0.250 0.750 0.500
3 Ac 0.250 0.250 0.500
4 Sm 0.674 0.174 0.748
5 Sm 0.500 0.500 0.000
6 Sm 0.326 0.826 0.252
7 Sm 0.174 0.074 0.748
8 Dy 0.112 0.388 0.000
9 Sm 0.826 0.926 0.252
10 Dy 0.888 0.612 0.000
11 Sm 0.926 0.426 0.252
12 Tb 0.750 0.250 0.500
13 Dy 0.388 0.888 0.000
14 Sm 0.426 0.326 0.252
15 Ac 0.750 0.750 0.500
16 Sm 0.074 0.574 0.748
17 Sm 0.574 0.674 0.748
18 Sm 0.000 0.000 0.000

4.
DFT (PBE) results for an optimized crystal structure of TlW2Cl.

Calculated values
distance to the lowest polymorph of the same formula = 0.123 eV/atom
energy = -7.116 eV per atom
energy relative to the elements, uncorrected = 1.66 eV per formula unit
SG = No. 35

abc: 3.023 3.023 10.197
angles: 90.00 90.00 114.20
Element x y z (fractional)
1 Cl 0.000 0.000 0.436
2 Tl 0.500 0.500 0.779
3 W 0.000 0.000 0.048
4 W 0.500 0.500 0.237

5.
DFT (PBE) results for an optimized crystal structure of MnBiSeBr2.

Calculated values
distance to the lowest polymorph of the same formula = 0.000 eV/atom
energy = -4.090 eV per atom
energy relative to the elements, uncorrected = -0.57 eV per formula unit
SG = No. 123

abc: 5.061 5.061 5.193
angles: 90.00 90.00 90.00
Last column: magnetic moment on the atom in μB.
Element x y z (fractional)
1 Bi 0.500 0.500 0.500  0.02
2 Br 0.500 0.000 0.000  0.06
3 Se 0.000 0.000 0.500  0.00
4 Mn 0.000 0.000 0.000  4.11
5 Br 0.000 0.500 0.000  0.06

6.
DFT (PBE) results for an optimized crystal structure of NaAs4Pd4.

Calculated values
energy = -4.816 eV per atom
SG = No. 87
ΔE_f = -2.65 eV per formula unit

abc: 4.541 8.520 8.520
angles: 90.00 90.00 90.00
Element x y z (fractional)
1 As 0.500 0.245 0.128
2 Na 0.500 0.500 0.500
3 Pd 0.500 0.573 0.145
4 Pd 0.000 0.355 0.073
5 Pd 0.500 0.855 0.573
6 As 0.000 0.372 0.745
7 Pd 0.000 0.645 0.927
8 Pd 0.000 0.927 0.355
9 As 0.000 0.745 0.628
10 As 0.000 0.628 0.255
11 Pd 0.000 0.073 0.645
12 As 0.500 0.128 0.755
13 Pd 0.500 0.145 0.427
14 As 0.500 0.872 0.245
15 Pd 0.500 0.427 0.855
16 Na 0.000 0.000 0.000
17 As 0.500 0.755 0.872
18 As 0.000 0.255 0.372

Values for total moment, μB per atom, ordered as above
0.000; 0.000; 0.000; 0.000; 0.917; 0.000
Values for D(E_F), states/eV per cell, ordered as above
0.95; 2.61; 26.17; 2.11; 2.93; 8.24